No. 1
{"formula": "ZrSb2Rh8", "functional": "GGA-PBE", "state": "optimized geometry", "lattice": [[-0.217, 4.023, 0.670], [-6.554, 0.132, -2.911], [0.897, -3.137, 6.674]], "species": ["Rh", "Sb", "Rh", "Rh", "Rh", "Rh", "Rh", "Rh", "Sb", "Rh", "Zr"], "fractional_positions": [[0.332, 0.096, 0.665], [0.175, 0.675, 0.350], [0.000, 0.279, 0.000], [0.668, 0.431, 0.335], [0.000, 0.721, 0.000], [0.849, 0.849, 0.698], [0.332, 0.569, 0.665], [0.668, 0.904, 0.335], [0.825, 0.325, 0.650], [0.151, 0.151, 0.302], [0.500, 0.000, 0.000]], "vol_a3_per_atom": 16.4, "e_form_raw_ev_per_atom": -0.39}



No. 2
{"formula": "GaCuRh14", "functional": "GGA-PBE", "state": "optimized geometry", "lattice": [[-2.842, -1.334, -4.423], [0.965, -3.741, 3.806], [-7.512, 2.275, 4.140]], "species": ["Rh", "Rh", "Rh", "Rh", "Ga", "Cu", "Rh", "Rh", "Rh", "Rh", "Rh", "Rh", "Rh", "Rh", "Rh", "Rh"], "fractional_positions": [[0.376, 0.125, 0.251], [0.375, 0.625, 0.254], [0.875, 0.624, 0.251], [0.875, 0.624, 0.749], [0.543, 0.457, 0.500], [0.040, 0.960, 0.500], [0.209, 0.292, 0.000], [0.541, 0.961, 0.500], [0.209, 0.791, 0.000], [0.376, 0.125, 0.749], [0.875, 0.125, 0.252], [0.708, 0.292, 0.000], [0.875, 0.125, 0.748], [0.708, 0.791, 0.000], [0.039, 0.459, 0.500], [0.375, 0.625, 0.746]], "vol_a3_per_atom": 14.2, "e_form_mev_per_atom": -46}



No. 3
{"formula": "NbZnGe", "functional": "GGA-PBE", "state": "optimized geometry", "lattice": [[3.773, 0.000, 0.000], [0.000, 3.539, -0.922], [0.000, 0.047, 7.437]], "species": ["Nb", "Zn", "Nb", "Ge", "Zn", "Ge"], "fractional_positions": [[0.750, 0.911, 0.822], [0.750, 0.247, 0.494], [0.250, 0.089, 0.178], [0.750, 0.576, 0.152], [0.250, 0.753, 0.506], [0.250, 0.424, 0.848]], "vol_a3_per_atom": 16.6, "e_form_mev_per_atom": -168}



Theoretical density / Mg/m³: 10.63, 11.53, 7.71
Uncorrected energy / eV per cell: -79.846, -110.784, -32.931